22
Lattice="6.060 0.000 0.000 0.823 6.051 0.000 2.582 0.242 6.318" Properties=species:S:1:pos:R:3 comment="LiNiP2O7 | the Alexandria database | SCAN | single point on PBEsol structure" formation_energy_uncorrected_kj_per_mol_fu=-2302 total_magnetization_mub_per_fu=1.00 dos_ef_per_ev_atom=0.03 e_above_lowest_polymorph_mev_per_atom=0.0 pbc="T T T"
Li 2.177 0.162 2.149
Li 7.288 6.132 4.169
Ni 4.641 2.369 4.555
Ni 4.823 3.925 1.763
P 1.804 3.662 0.952
P 4.329 5.430 4.679
P 5.136 0.863 1.639
P 7.660 2.632 5.366
O 3.058 5.896 4.067
O 2.805 2.664 4.419
O 4.041 5.034 6.190
O 2.969 4.199 1.808
O 2.099 2.361 0.220
O 4.623 0.441 4.712
O 4.954 4.168 3.994
O 4.510 2.125 2.323
O 4.841 5.852 1.606
O 7.366 3.932 6.098
O 6.496 2.095 4.510
O 5.424 1.260 0.127
O 6.660 3.630 1.899
O 6.407 0.398 2.251